# GGA-PBE SrNiHg2, optimized geometry
data_SrNiHg2
_cell_length_a 7.983
_cell_length_b 4.631
_cell_length_c 6.125
_cell_angle_alpha 90.00
_cell_angle_beta 115.95
_cell_angle_gamma 90.00
_symmetry_space_group_name_H-M 'C 1 m 1'
_symmetry_Int_Tables_number 8
loop_
_symmetry_equiv_pos_as_xyz
'x,y,z'
'x,-y,z'
'x+1/2,y+1/2,z'
'x+1/2,-y+1/2,z'
loop_
_atom_site_label
_atom_site_fract_x
_atom_site_fract_y
_atom_site_fract_z
Sr1 0.000 0.000 0.000
Ni1 0.309 0.500 0.420
Hg1 0.208 0.000 0.621
Hg2 0.456 0.000 0.364
# Energy: -2.19 eV per atom

# GGA-PBE AgPd4Au, optimized geometry
data_AgPd4Au
_cell_length_a 7.380
_cell_length_b 4.925
_cell_length_c 5.429
_cell_angle_alpha 90.00
_cell_angle_beta 98.60
_cell_angle_gamma 90.00
_symmetry_space_group_name_H-M 'P 1 2/c 1'
_symmetry_Int_Tables_number 13
loop_
_symmetry_equiv_pos_as_xyz
'x,y,z'
'-x,-y,-z'
'-x,y,-z+1/2'
'x,-y,z+1/2'
loop_
_atom_site_label
_atom_site_fract_x
_atom_site_fract_y
_atom_site_fract_z
Ag1 0.000 0.086 0.250
Pd1 0.166 0.418 0.914
Pd2 0.333 0.085 0.588
Au1 0.500 0.410 0.250
# Polymorph energy (0 for the lowest one): 28 meV per atom

# GGA-PBE K2NaTa2O7, optimized geometry
data_K2NaTa2O7
_cell_length_a 4.005
_cell_length_b 4.005
_cell_length_c 21.968
_cell_angle_alpha 90.00
_cell_angle_beta 90.00
_cell_angle_gamma 90.00
_symmetry_space_group_name_H-M 'I 4/m m m'
_symmetry_Int_Tables_number 139
_symmetry_space_group_name_Hall '-I 4 2'
loop_
_atom_site_label
_atom_site_fract_x
_atom_site_fract_y
_atom_site_fract_z
K1 0.000 0.000 0.192
Na1 0.000 0.000 0.000
Ta1 0.000 0.000 0.405
O1 0.000 0.000 0.319
O2 0.000 0.000 0.500
O3 0.000 0.500 0.088
# Uncorrected formation energy: -28.4 eV/f.u.